Entry 1:
LiEr2Os (meta-GGA SCAN, PBEsol geometry); DFT total energy = -44.13 eV/atom; space group = Fm-3m, No. 225; ΔE_f = -0.391 eV/atom
1.0
-2.138 -3.869 -1.827
1.251 -4.362 1.512
-3.020 -2.557 2.687
Er Os Li
2 1 1
Cartesian
-2.931 -8.091 1.779 Er
-0.977 -2.697 0.593 Er
0.000 0.000 0.000 Os
-1.954 -5.394 1.186 Li

***

Entry 2:
LiErSe2 (meta-GGA SCAN, PBEsol geometry); DFT total energy = -25.11 eV/atom; space group = I4_1/amd, No. 141; raw formation energy = -1.8868 eV/atom
1.0
5.573 0.000 0.000
0.000 5.573 0.000
-2.786 -2.786 5.655
Er Se Li
2 4 2
Cartesian
2.786 0.000 2.827 Er
2.786 2.786 0.000 Er
0.000 0.000 2.861 Se
2.786 0.000 0.034 Se
2.786 2.786 2.794 Se
2.786 0.000 5.621 Se
0.000 0.000 0.000 Li
0.000 2.786 2.827 Li

***

Entry 3:
LiErSe2 (meta-GGA SCAN, PBEsol geometry); DFT total energy = -25.03 eV/atom; space group = P4/mmm, No. 123; raw formation energy = -1.8125 eV/atom
1.0
-1.202 3.280 1.925
1.752 -1.314 3.333
4.628 2.537 -1.432
Er Se Li
1 2 1
Cartesian
2.589 2.252 1.913 Er
2.314 1.269 -0.716 Se
0.275 0.983 2.629 Se
0.000 0.000 0.000 Li

***

Entry 4:
LiErSe2 (meta-GGA SCAN, PBEsol geometry); DFT total energy = -25.12 eV/atom; space group = R-3m, No. 166; raw formation energy = -1.9031 eV/atom
1.0
3.976 0.000 0.000
1.988 3.444 0.000
1.988 1.148 6.370
Er Se Li
1 2 1
Cartesian
0.000 0.000 0.000 Er
5.965 3.444 4.755 Se
1.988 1.148 1.615 Se
3.976 2.296 3.185 Li

***

Entry 5:
LiEr2Tl (meta-GGA SCAN, PBEsol geometry); DFT total energy = -44.17 eV/atom; space group = Fm-3m, No. 225; ΔE_f = -0.317 eV/atom
1.0
-4.209 -1.686 -2.454
-2.419 -4.243 1.649
-4.622 0.378 2.252
Tl Er Li
1 2 1
Cartesian
0.000 0.000 0.000 Tl
-2.812 -1.388 0.362 Er
-8.437 -4.164 1.086 Er
-5.625 -2.776 0.724 Li

***

Entry 6:
Li2ErTl (meta-GGA SCAN, PBEsol geometry); DFT total energy = -32.23 eV/atom; space group = Fm-3m, No. 225; ΔE_f = -0.357 eV/atom
1.0
4.742 0.000 0.000
2.371 4.107 0.000
2.371 1.369 3.872
Tl Er Li
1 1 2
Cartesian
4.742 2.738 1.936 Tl
0.000 0.000 0.000 Er
2.371 1.369 0.968 Li
7.113 4.107 2.904 Li